HfNiSb3 GGA-PBE relaxed; crystal system = cubic; mass density = 8.24 g/cm³; spin magnetization = 0.0 μB/cell; raw formation energy = 0.395 eV per atom; E above lowest polymorph = 0 meV/atom
1.0
-0.4108 2.4791 4.2656
4.0095 -2.3266 1.7383
2.8750 3.5988 -1.8147
Sb Ni Hf
3 1 1
Direct
0.5000 0.0000 0.0000
0.0000 0.0000 0.5000
0.0000 0.5000 0.0000
0.0000 0.0000 0.0000
0.5000 0.5000 0.5000


HfNiSb2 GGA-PBE relaxed; crystal system = cubic; mass density = 9.79 g/cm³; spin magnetization = 0.0 μB/cell; raw formation energy = 0.053 eV per atom
1.0
0.0000 3.4417 3.4417
3.4417 0.0000 3.4417
3.4417 3.4417 0.0000
Sb Hf Ni
2 1 1
Direct
0.7500 0.7500 0.7500
0.2500 0.2500 0.2500
0.5000 0.5000 0.5000
0.0000 0.0000 0.0000


HfNi2Sb GGA-PBE relaxed; crystal system = tetragonal; mass density = 10.89 g/cm³; spin magnetization = 0.0 μB/cell; raw formation energy = -0.330 eV per atom
1.0
3.7291 0.0000 0.0000
0.0000 4.1326 0.0000
0.0000 0.0000 4.1326
Sb Hf Ni
1 1 2
Direct
0.5000 0.5000 0.5000
0.5000 0.0000 0.0000
0.0000 0.0000 0.5000
0.0000 0.5000 0.0000